# 1
The following is a DFT calculation (PBE) of crystalline KMnAsPb2 at its relaxed geometry.

Results
The calculated formation energy comes out at 521 meV/atom.

Unit cell a=5.199 b=5.199 c=5.665 alpha=90.00 beta=90.00 gamma=90.00
Space group P4/mmm (No. 123)
Asymmetric unit:
K 0.000 0.000 0.000 x1
Mn 0.000 0.000 0.500 x1
As 0.500 0.500 0.000 x1
Pb 0.000 0.500 0.500 x2

# 2
The following is a DFT calculation (PBE) of crystalline InCoCuNi at its relaxed geometry.

Results
The calculated formation energy comes out at 92 meV/atom.

Unit cell a=5.972 b=5.972 c=5.972 alpha=90.00 beta=90.00 gamma=90.00
Space group F-43m (No. 216)
Asymmetric unit:
In 0.000 0.000 0.000 x4
Co 0.250 0.250 0.750 x4
Cu 0.000 0.000 0.500 x4
Ni 0.250 0.250 0.250 x4

# 3
The following is a DFT calculation (PBE) of crystalline CeErCuSn at its relaxed geometry.

Results
The calculated formation energy comes out at -335 meV/atom.

Unit cell a=7.350 b=7.350 c=7.350 alpha=90.00 beta=90.00 gamma=90.00
Space group F-43m (No. 216)
Asymmetric unit:
Ce 0.000 0.000 0.000 x4
Er 0.000 0.000 0.500 x4
Cu 0.250 0.250 0.750 x4
Sn 0.250 0.250 0.250 x4

# 4
The following is a DFT calculation (PBE) of crystalline CsNa at its relaxed geometry.

Results
The calculated formation energy comes out at 26 meV/atom.

Unit cell a=7.311 b=5.168 c=7.399 alpha=90.00 beta=90.04 gamma=90.00
Space group P2/m (No. 10)
Asymmetric unit:
Cs 0.250 0.000 0.228 x2
Na 0.250 0.500 0.709 x2

# 5
The following is a DFT calculation (PBE) of crystalline Tb7Ir2Pd2 at its relaxed geometry.

Results
The calculated formation energy comes out at -538 meV/atom.

Unit cell a=8.210 b=10.583 c=6.937 alpha=90.00 beta=90.00 gamma=90.00
Space group Cmmm (No. 65)
Asymmetric unit:
Tb 0.000 0.000 0.000 x2
Tb 0.000 0.500 0.254 x4
Tb 0.250 0.250 0.259 x8
Ir 0.000 0.283 0.000 x4
Pd 0.208 0.000 0.500 x4

# 6
The following is a DFT calculation (PBE) of crystalline Pa2ICl8 at its relaxed geometry.

Results
Its uncorrected formation energy is -166.4 kJ/mol of atoms.

Unit cell a=8.346 b=12.313 c=9.482 alpha=90.00 beta=96.84 gamma=90.00
Space group C2/m (No. 12)
Asymmetric unit:
Pa 0.129 0.000 0.206 x4
I 0.000 0.000 0.500 x2
Cl 0.076 0.500 0.706 x4
Cl 0.115 0.204 0.207 x8
Cl 0.184 0.000 0.930 x4

E for the records above, in order: -3.946, -4.839, -4.984, -1.061, -6.040, -4.935 eV per atom
Size of the total moment for the records above, in order: 3.17, 0.02, 5.47, 0.00, 0.00, 2.03 μB per cell